Record 1
! TmLuThMg (PBE, optimized geometry); values from VASP
! - total DFT energy (no corrections) (eV per atom) = -4.414
! - space-group type = F-43m (216)
! - DOS(E_F) (states/eV/atom) = 1.605
! - formation energy (eV/atom) = 0.088
&SYSTEM
  ibrav = 0, nat = 4, ntyp = 4
/
ATOMIC_SPECIES
Tm 168.93 Tm.upf
Th 232.04 Th.upf
Lu 174.97 Lu.upf
Mg 24.30 Mg.upf
ATOMIC_POSITIONS crystal
Tm 0.5000 0.5000 0.5000
Th 0.0000 0.0000 0.0000
Lu 0.7500 0.7500 0.7500
Mg 0.2500 0.2500 0.2500
CELL_PARAMETERS angstrom
-5.3591 1.0718 0.1432
-2.8281 0.4253 -4.6594
-3.6008 -3.8770 -1.3757

=====

Record 2
! ZrTaCoNi2 (PBE, optimized geometry); values from VASP
! - total DFT energy (no corrections) (eV per atom) = -7.252
! - space-group type = P4/mmm (123)
! - DOS(E_F) (states/eV/atom) = 1.416
! - formation energy (eV/atom) = 0.562
&SYSTEM
  ibrav = 0, nat = 5, ntyp = 4
/
ATOMIC_SPECIES
Ni 58.69 Ni.upf
Ta 180.95 Ta.upf
Zr 91.22 Zr.upf
Co 58.93 Co.upf
ATOMIC_POSITIONS crystal
Ni 0.0000 0.0000 0.5000
Ni 0.5000 0.0000 0.0000
Ta 0.0000 0.5000 0.0000
Zr 0.5000 0.5000 0.5000
Co 0.0000 0.0000 0.0000
CELL_PARAMETERS angstrom
4.3650 0.0000 0.0000
0.0000 4.3999 0.0000
0.0000 0.0000 4.3650

=====

Record 3
! CsTeP2S (PBE, optimized geometry); values from VASP
! - total DFT energy (no corrections) (eV per atom) = -3.327
! - formation energy from raw total energies (eV per atom) = 0.461
! - space-group type = P4/mmm (123)
! - DOS(E_F) (states/eV/atom) = 0.770
! - energy relative to the lowest polymorph listed for this composition (meV/atom) = 0.0
&SYSTEM
  ibrav = 0, nat = 5, ntyp = 4
/
ATOMIC_SPECIES
P 30.97 P.upf
Te 127.60 Te.upf
Cs 132.91 Cs.upf
S 32.06 S.upf
ATOMIC_POSITIONS crystal
P 0.0000 0.5000 0.0000
P 0.5000 0.0000 0.0000
Te 0.0000 0.0000 0.0000
Cs 0.5000 0.5000 0.5000
S 0.0000 0.0000 0.5000
CELL_PARAMETERS angstrom
5.3456 0.0000 0.0000
0.0000 5.3456 0.0000
0.0000 0.0000 5.3671

=====

Record 4
! Pr4C2Br3 (PBE, optimized geometry); values from VASP
! - total DFT energy (no corrections) (eV per atom) = -5.653
! - formation energy from raw total energies (eV per atom) = -0.921
! - space-group type = C2/m (12)
! - DOS(E_F) (states/eV/atom) = 0.149
&SYSTEM
  ibrav = 0, nat = 9, ntyp = 3
/
ATOMIC_SPECIES
Br 79.90 Br.upf
Pr 140.91 Pr.upf
C 12.01 C.upf
ATOMIC_POSITIONS crystal
Br 0.4093 0.8186 0.5986
Br 0.5907 0.1814 0.4014
Br 0.0000 0.0000 0.0000
Pr 0.0949 0.1898 0.7065
Pr 0.6828 0.3655 0.1055
Pr 0.9051 0.8102 0.2935
Pr 0.3172 0.6345 0.8945
C 0.6941 0.3882 0.8346
C 0.3059 0.6118 0.1654
CELL_PARAMETERS angstrom
3.6848 0.0000 0.0000
-1.8424 7.5462 -0.2909
0.0000 -1.5719 8.8083

=====

Record 5
! PPtAuS2 (PBE, optimized geometry); values from VASP
! - total DFT energy (no corrections) (eV per atom) = -3.775
! - formation energy from raw total energies (eV per atom) = 0.822
! - space-group type = P4/mmm (123)
! - DOS(E_F) (states/eV/atom) = 1.217
! - energy relative to the lowest polymorph listed for this composition (meV/atom) = 0.0
&SYSTEM
  ibrav = 0, nat = 5, ntyp = 4
/
ATOMIC_SPECIES
Pt 195.08 Pt.upf
P 30.97 P.upf
S 32.06 S.upf
Au 196.97 Au.upf
ATOMIC_POSITIONS crystal
Pt 0.0000 0.0000 0.0000
P 0.0000 0.0000 0.5000
S 0.5000 0.0000 0.0000
S 0.0000 0.5000 0.0000
Au 0.5000 0.5000 0.5000
CELL_PARAMETERS angstrom
-2.3031 0.8385 4.2636
1.9939 -4.0835 1.8801
3.4840 2.3545 1.4189

=====

Record 6
! Zr4ScAl (PBE, optimized geometry); values from VASP
! - total DFT energy (no corrections) (eV per atom) = -7.459
! - space-group type = C2/c (15)
! - DOS(E_F) (states/eV/atom) = 1.184
! - formation energy (eV/atom) = -0.081
! - energy relative to the lowest polymorph listed for this composition (meV/atom) = 0.0
&SYSTEM
  ibrav = 0, nat = 12, ntyp = 3
/
ATOMIC_SPECIES
Zr 91.22 Zr.upf
Sc 44.96 Sc.upf
Al 26.98 Al.upf
ATOMIC_POSITIONS crystal
Zr 0.0398 0.2418 0.8853
Zr 0.9602 0.7582 0.1147
Zr 0.7651 0.0138 0.3837
Zr 0.1186 0.3699 0.3837
Zr 0.8814 0.6301 0.6163
Zr 0.3455 0.6435 0.8853
Zr 0.6545 0.3565 0.1147
Zr 0.2349 0.9862 0.6163
Sc 0.3663 0.1163 0.2326
Sc 0.6337 0.8837 0.7674
Al 0.3973 0.6473 0.2945
Al 0.6027 0.3527 0.7055
CELL_PARAMETERS angstrom
7.6022 0.3279 0.0000
-0.9243 5.7197 0.0000
-3.3390 -3.0238 6.0935